*one*
SrTlAs2Se | GGA-PBE | optimized geometry

The space group is P4/mmm (No. 123) and the conventional cell measures 5.781, 5.781 and 5.774 Å, with angles of 90.00, 90.00 and 90.00 degrees. The inequivalent atoms are Sr at (0.000, 0.000, 0.000), Tl at (0.500, 0.500, 0.500), As at (0.000, 0.500, 0.000) and Se at (0.000, 0.000, 0.500).

As for the crystal system: tetragonal.

*two*
SrTlAs2Se | GGA-PBE | optimized geometry

The space group is P4/mmm (No. 123) and the conventional cell measures 5.314, 5.314 and 5.554 Å, with angles of 90.00, 90.00 and 90.00 degrees. The inequivalent atoms are Sr at (0.000, 0.000, 0.000), Tl at (0.500, 0.500, 0.500), As at (0.000, 0.500, 0.500) and Se at (0.500, 0.500, 0.000).

As for the crystal system: tetragonal.

Energy comparison, zero being the most stable, in eV/atom: *one* 0.304; *two* 0.000.